(1)
VASP calculation (GGA-PBE) on an optimized crystal structure of Ca2BeAg.

Calculated volume   431.92 Å³/cell
E_form   0.40 eV/atom

Cell lengths 7.969, 7.969, 6.801 Å; angles 90.00, 90.00, 90.00 degrees
Space group I-42d (No. 122)
One atom of each set of equivalent atoms:
Ca1 0.237 0.250 0.125 x8
Be1 0.000 0.000 0.000 x4
Ag1 0.000 0.000 0.500 x4

(2)
VASP calculation (GGA-PBE) on an optimized crystal structure of CaBeAg3.

Calculated volume   98.90 Å³/cell
Distance to the lowest polymorph of the same formula   0 meV/atom
E_form   -0.04 eV/atom

Cell lengths 4.624, 4.624, 4.624 Å; angles 90.00, 90.00, 90.00 degrees
Space group Pm-3m (No. 221)
One atom of each set of equivalent atoms:
Ca1 0.000 0.000 0.000 x1
Be1 0.500 0.500 0.500 x1
Ag1 0.000 0.500 0.500 x3

(3)
VASP calculation (GGA-PBE) on an optimized crystal structure of CaBeAg4.

Calculated volume   481.07 Å³/cell
E_form   0.15 eV/atom

Cell lengths 7.836, 7.836, 7.836 Å; angles 90.00, 90.00, 90.00 degrees
Space group F-43m (No. 216)
One atom of each set of equivalent atoms:
Ca1 0.000 0.000 0.000 x4
Be1 0.250 0.250 0.250 x4
Ag1 0.125 0.125 0.625 x16

(4)
VASP calculation (GGA-PBE) on an optimized crystal structure of CaBe3Ag.

Calculated volume   136.98 Å³/cell
Distance to the lowest polymorph of the same formula   1566 meV/atom
E_form   2.03 eV/atom

Cell lengths 5.155, 5.155, 5.155 Å; angles 90.00, 90.00, 90.00 degrees
Space group Pm-3m (No. 221)
One atom of each set of equivalent atoms:
Ca1 0.000 0.000 0.000 x1
Be1 0.000 0.000 0.500 x3
Ag1 0.500 0.500 0.500 x1

(5)
VASP calculation (GGA-PBE) on an optimized crystal structure of CaBeAg2.

Calculated volume   78.24 Å³/cell
E_form   0.23 eV/atom

Cell lengths 4.414, 4.414, 4.016 Å; angles 90.00, 90.00, 90.00 degrees
Space group P4/mmm (No. 123)
One atom of each set of equivalent atoms:
Ca1 0.000 0.000 0.000 x1
Be1 0.500 0.500 0.000 x1
Ag1 0.000 0.500 0.500 x2

(6)
VASP calculation (GGA-PBE) on an optimized crystal structure of CaBe2Ag2.

Calculated volume   161.49 Å³/cell
Distance to the lowest polymorph of the same formula   53 meV/atom
E_form   0.15 eV/atom

Cell lengths 7.317, 7.317, 3.017 Å; angles 90.00, 90.00, 90.00 degrees
Space group P4/mbm (No. 127)
One atom of each set of equivalent atoms:
Ca1 0.000 0.000 0.000 x2
Be1 0.111 0.389 0.000 x4
Ag1 0.175 0.675 0.500 x4

(7)
VASP calculation (GGA-PBE) on an optimized crystal structure of CaBeAg2.

Calculated volume   166.59 Å³/cell
E_form   -0.01 eV/atom

Cell lengths 7.496, 4.318, 5.706 Å; angles 90.00, 115.58, 90.00 degrees
Space group C2/m (No. 12)
One atom of each set of equivalent atoms:
Ca1 0.000 0.000 0.000 x2
Be1 0.000 0.500 0.500 x2
Ag1 0.205 0.000 0.615 x4

(8)
VASP calculation (GGA-PBE) on an optimized crystal structure of CaBe2Ag.

Calculated volume   147.74 Å³/cell
Distance to the lowest polymorph of the same formula   13 meV/atom
E_form   0.08 eV/atom

Cell lengths 7.029, 4.060, 5.693 Å; angles 90.00, 114.55, 90.00 degrees
Space group Cm (No. 8)
One atom of each set of equivalent atoms:
Ca1 0.000 0.000 0.000 x2
Be1 0.008 0.500 0.522 x2
Be2 0.188 0.000 0.561 x2
Ag1 0.310 0.500 0.429 x2

(9)
VASP calculation (GGA-PBE) on an optimized crystal structure of Ca2BeAg.

Calculated volume   101.99 Å³/cell
E_form   -0.01 eV/atom

Cell lengths 4.510, 4.118, 5.933 Å; angles 90.00, 112.24, 90.00 degrees
Space group Pm (No. 6)
One atom of each set of equivalent atoms:
Ca1 0.000 0.000 0.000 x1
Ca2 0.290 0.500 0.580 x1
Be1 0.588 0.500 0.177 x1
Ag1 0.700 0.000 0.401 x1

(10)
VASP calculation (GGA-PBE) on an optimized crystal structure of Ca2BeAg.

Calculated volume   94.92 Å³/cell
E_form   0.05 eV/atom

Cell lengths 3.627, 3.536, 7.402 Å; angles 90.00, 90.19, 90.00 degrees
Space group P2/m (No. 10)
One atom of each set of equivalent atoms:
Ca1 0.000 0.000 0.234 x2
Be1 0.500 0.500 0.000 x1
Ag1 0.500 0.500 0.500 x1

(11)
VASP calculation (GGA-PBE) on an optimized crystal structure of Ca2BeAg.

Calculated volume   190.10 Å³/cell
E_form   0.07 eV/atom

Cell lengths 3.623, 5.143, 10.202 Å; angles 90.00, 90.00, 90.00 degrees
Space group Imm2 (No. 44)
One atom of each set of equivalent atoms:
Ca1 0.000 0.000 0.000 x2
Ca2 0.000 0.500 0.200 x2
Be1 0.000 0.500 0.764 x2
Ag1 0.000 0.000 0.413 x2

(12)
VASP calculation (GGA-PBE) on an optimized crystal structure of CaBe4Ag.

Calculated volume   313.29 Å³/cell
E_form   0.19 eV/atom

Cell lengths 6.792, 6.792, 6.792 Å; angles 90.00, 90.00, 90.00 degrees
Space group F-43m (No. 216)
One atom of each set of equivalent atoms:
Ca1 0.000 0.000 0.000 x4
Be1 0.121 0.121 0.379 x16
Ag1 0.250 0.250 0.750 x4

(13)
VASP calculation (GGA-PBE) on an optimized crystal structure of CaBeAg2.

Calculated volume   80.18 Å³/cell
E_form   0.10 eV/atom

Cell lengths 3.546, 3.893, 6.044 Å; angles 90.00, 106.02, 90.00 degrees
Space group P2/m (No. 10)
One atom of each set of equivalent atoms:
Ca1 0.000 0.000 0.000 x1
Be1 0.500 0.000 0.500 x1
Ag1 0.351 0.500 0.698 x2

(14)
VASP calculation (GGA-PBE) on an optimized crystal structure of CaBe2Ag.

Calculated volume   69.68 Å³/cell
Distance to the lowest polymorph of the same formula   164 meV/atom
E_form   0.23 eV/atom

Cell lengths 3.400, 3.767, 5.696 Å; angles 90.00, 107.27, 90.00 degrees
Space group Pm (No. 6)
One atom of each set of equivalent atoms:
Ca1 0.000 0.000 0.000 x1
Be1 0.274 0.000 0.543 x1
Be2 0.364 0.500 0.727 x1
Ag1 0.708 0.500 0.415 x1

(15)
VASP calculation (GGA-PBE) on an optimized crystal structure of CaBeAg3.

Calculated volume   162.69 Å³/cell
Distance to the lowest polymorph of the same formula   1385 meV/atom
E_form   1.35 eV/atom

Cell lengths 5.459, 5.459, 5.459 Å; angles 90.00, 90.00, 90.00 degrees
Space group Pm-3m (No. 221)
One atom of each set of equivalent atoms:
Ca1 0.000 0.000 0.000 x1
Be1 0.500 0.500 0.500 x1
Ag1 0.000 0.000 0.500 x3